No. 1
# RbScTl2Te, relaxed, DFT PBE
data_RbScTl2Te
_cell_length_a 6.378
_cell_length_b 6.378
_cell_length_c 6.596
_cell_angle_alpha 90.00
_cell_angle_beta 90.00
_cell_angle_gamma 90.00
_space_group_name_H-M_alt 'P 1'
_space_group_IT_number 1
loop_
_space_group_symop_operation_xyz
'x,y,z'
loop_
_atom_site_label
_atom_site_fract_x
_atom_site_fract_y
_atom_site_fract_z
Rb1 0.000 0.000 0.000
Sc1 0.500 0.500 0.000
Tl1 0.000 0.500 0.500
Tl2 0.500 0.000 0.500
Te1 0.000 0.000 0.500
# * final energy: -12.6 eV for the cell shown

---

No. 2
# RbTmScTe3, relaxed, DFT PBE
data_RbTmScTe3
_cell_length_a 9.878
_cell_length_b 4.549
_cell_length_c 10.860
_cell_angle_alpha 90.00
_cell_angle_beta 109.28
_cell_angle_gamma 90.00
_space_group_name_H-M_alt 'P 1'
_space_group_IT_number 1
loop_
_space_group_symop_operation_xyz
'x,y,z'
loop_
_atom_site_label
_atom_site_fract_x
_atom_site_fract_y
_atom_site_fract_z
Rb1 0.210 0.250 0.238
Rb2 0.790 0.750 0.762
Tm1 0.338 0.750 0.866
Tm2 0.662 0.250 0.134
Sc1 0.084 0.250 0.608
Sc2 0.916 0.750 0.392
Te1 0.123 0.250 0.874
Te2 0.221 0.750 0.549
Te3 0.465 0.750 0.159
Te4 0.535 0.250 0.841
Te5 0.779 0.250 0.451
Te6 0.877 0.750 0.126
# * final energy: -56.7 eV for the cell shown

---

No. 3
# Rb3TmSc2Te6, relaxed, DFT PBE
data_Rb3TmSc2Te6
_cell_length_a 7.603
_cell_length_b 7.603
_cell_length_c 8.874
_cell_angle_alpha 98.22
_cell_angle_beta 98.22
_cell_angle_gamma 120.00
_space_group_name_H-M_alt 'P 1'
_space_group_IT_number 1
loop_
_space_group_symop_operation_xyz
'x,y,z'
loop_
_atom_site_label
_atom_site_fract_x
_atom_site_fract_y
_atom_site_fract_z
Rb1 0.000 0.000 0.000
Rb2 0.336 0.664 0.000
Rb3 0.664 0.336 0.000
Tm1 0.500 0.500 0.500
Sc1 0.167 0.833 0.500
Sc2 0.833 0.167 0.500
Te1 0.094 0.436 0.308
Te2 0.222 0.222 0.691
Te3 0.436 0.094 0.308
Te4 0.564 0.906 0.692
Te5 0.778 0.778 0.309
Te6 0.906 0.564 0.692
# * final energy: -54.2 eV for the cell shown

---

No. 4
# Rb3TmSc3Te8, relaxed, DFT PBE
data_Rb3TmSc3Te8
_cell_length_a 10.064
_cell_length_b 10.064
_cell_length_c 10.064
_cell_angle_alpha 49.75
_cell_angle_beta 49.75
_cell_angle_gamma 49.75
_space_group_name_H-M_alt 'P 1'
_space_group_IT_number 1
loop_
_space_group_symop_operation_xyz
'x,y,z'
loop_
_atom_site_label
_atom_site_fract_x
_atom_site_fract_y
_atom_site_fract_z
Rb1 0.000 0.500 0.500
Rb2 0.500 0.000 0.500
Rb3 0.500 0.500 0.000
Tm1 0.500 0.500 0.500
Sc1 0.000 0.000 0.500
Sc2 0.000 0.500 0.000
Sc3 0.500 0.000 0.000
Te1 0.219 0.737 0.737
Te2 0.230 0.230 0.230
Te3 0.263 0.263 0.781
Te4 0.263 0.781 0.263
Te5 0.737 0.219 0.737
Te6 0.737 0.737 0.219
Te7 0.770 0.770 0.770
Te8 0.781 0.263 0.263
# * final energy: -69.7 eV for the cell shown

---

| no. | formation energy from raw total energies (eV/atom) |
| --- | --- |
| 1 | 0.52 |
| 2 | -1.20 |
| 3 | -1.27 |
| 4 | -1.22 |